## PuU3 (PBE)

Data for an optimized crystal structure of PuU3.

Cell and atoms, written as POSCAR:
```
PuU3
1.0
3.790 0.000 0.000
0.000 4.823 0.000
0.000 0.000 4.627
Pu U
1 3
Cartesian
0.000 0.000 0.000 Pu
0.000 2.411 2.449 U
1.895 0.000 2.949 U
1.895 2.411 0.698 U
```

Computed properties:
Its space group is Pmm2. As for the total energy: -11.946 eV/atom. Its magnetization is 1.8 μB per formula unit. The calculation puts the formation energy at 2.37 kcal/mol of atoms. For the energy above the most stable polymorph in this dataset, the calculation gives 0 meV/atom.